(A)
DFT (PBE) results for an optimized crystal structure of TiHRh3.

The structure in CIF format:
```
data_TiHRh3
_chemical_formula_sum 'Ti1 H1 Rh3'
_symmetry_space_group_name_H-M 'P 1'
_symmetry_Int_Tables_number 1
_symmetry_space_group_name_Hall 'P 1'
_cell_length_a 4.598
_cell_length_b 4.598
_cell_length_c 4.598
_cell_angle_alpha 112.21
_cell_angle_beta 112.21
_cell_angle_gamma 112.21
loop_
_atom_site_label
_atom_site_type_symbol
_atom_site_fract_x
_atom_site_fract_y
_atom_site_fract_z
Ti1 Ti 0.000 0.000 0.000
H1 H 0.483 0.483 0.483
Rh1 Rh 0.394 0.394 0.791
Rh2 Rh 0.394 0.791 0.394
Rh3 Rh 0.791 0.394 0.394
```


(B)
DFT (PBE) results for an optimized crystal structure of TiHRh3.

The structure in CIF format:
```
data_TiHRh3
_chemical_formula_sum 'Ti2 H2 Rh6'
_symmetry_space_group_name_H-M 'P 1'
_symmetry_Int_Tables_number 1
_symmetry_space_group_name_Hall 'P 1'
_cell_length_a 5.281
_cell_length_b 5.281
_cell_length_c 5.286
_cell_angle_alpha 90.00
_cell_angle_beta 90.00
_cell_angle_gamma 120.03
loop_
_atom_site_label
_atom_site_type_symbol
_atom_site_fract_x
_atom_site_fract_y
_atom_site_fract_z
Ti1 Ti 0.078 0.922 0.750
Ti2 Ti 0.922 0.078 0.250
H1 H 0.361 0.639 0.250
H2 H 0.639 0.361 0.750
Rh1 Rh 0.038 0.441 0.750
Rh2 Rh 0.441 0.038 0.250
Rh3 Rh 0.500 0.500 0.000
Rh4 Rh 0.500 0.500 0.500
Rh5 Rh 0.559 0.962 0.750
Rh6 Rh 0.962 0.559 0.250
```


Ordering by calculated energy gives the sequence (B), (A), with the first entry being the most stable.


(A)
DFT (PBE) results for an optimized crystal structure of TiHRh3.

The structure in CIF format:
```
data_TiHRh3
_chemical_formula_sum 'Ti2 H2 Rh6'
_symmetry_space_group_name_H-M 'P 1'
_symmetry_Int_Tables_number 1
_symmetry_space_group_name_Hall 'P 1'
_cell_length_a 5.534
_cell_length_b 5.534
_cell_length_c 4.468
_cell_angle_alpha 90.53
_cell_angle_beta 90.53
_cell_angle_gamma 60.37
loop_
_atom_site_label
_atom_site_type_symbol
_atom_site_fract_x
_atom_site_fract_y
_atom_site_fract_z
Ti1 Ti 0.158 0.158 0.277
Ti2 Ti 0.842 0.842 0.723
H1 H 0.000 0.500 0.000
H2 H 0.500 0.000 0.000
Rh1 Rh 0.172 0.666 0.251
Rh2 Rh 0.334 0.828 0.749
Rh3 Rh 0.336 0.336 0.743
Rh4 Rh 0.664 0.664 0.257
Rh5 Rh 0.666 0.172 0.251
Rh6 Rh 0.828 0.334 0.749
```


(B)
DFT (PBE) results for an optimized crystal structure of TiHRh3.

The structure in CIF format:
```
data_TiHRh3
_chemical_formula_sum 'Ti4 H4 Rh12'
_symmetry_space_group_name_H-M 'P 1'
_symmetry_Int_Tables_number 1
_symmetry_space_group_name_Hall 'P 1'
_cell_length_a 7.265
_cell_length_b 7.265
_cell_length_c 7.265
_cell_angle_alpha 60.00
_cell_angle_beta 60.00
_cell_angle_gamma 60.00
loop_
_atom_site_label
_atom_site_type_symbol
_atom_site_fract_x
_atom_site_fract_y
_atom_site_fract_z
Ti1 Ti 0.000 0.000 0.000
Ti2 Ti 0.000 0.000 0.500
Ti3 Ti 0.000 0.500 0.000
Ti4 Ti 0.500 0.000 0.000
H1 H 0.000 0.500 0.500
H2 H 0.500 0.000 0.500
H3 H 0.500 0.500 0.000
H4 H 0.500 0.500 0.500
Rh1 Rh 0.178 0.178 0.572
Rh2 Rh 0.178 0.572 0.178
Rh3 Rh 0.178 0.572 0.572
Rh4 Rh 0.428 0.428 0.822
Rh5 Rh 0.428 0.822 0.428
Rh6 Rh 0.428 0.822 0.822
Rh7 Rh 0.572 0.178 0.178
Rh8 Rh 0.572 0.178 0.572
Rh9 Rh 0.572 0.572 0.178
Rh10 Rh 0.822 0.428 0.428
Rh11 Rh 0.822 0.428 0.822
Rh12 Rh 0.822 0.822 0.428
```


(C)
DFT (PBE) results for an optimized crystal structure of TiHRh3.

The structure in CIF format:
```
data_TiHRh3
_chemical_formula_sum 'Ti2 H2 Rh6'
_symmetry_space_group_name_H-M 'P 1'
_symmetry_Int_Tables_number 1
_symmetry_space_group_name_Hall 'P 1'
_cell_length_a 9.147
_cell_length_b 9.147
_cell_length_c 9.147
_cell_angle_alpha 150.38
_cell_angle_beta 150.38
_cell_angle_gamma 42.38
loop_
_atom_site_label
_atom_site_type_symbol
_atom_site_fract_x
_atom_site_fract_y
_atom_site_fract_z
Ti1 Ti 0.000 0.000 0.000
Ti2 Ti 0.750 0.250 0.500
H1 H 0.134 0.634 0.500
H2 H 0.366 0.866 0.500
Rh1 Rh 0.355 0.355 0.000
Rh2 Rh 0.368 0.124 0.245
Rh3 Rh 0.645 0.645 0.000
Rh4 Rh 0.876 0.121 0.245
Rh5 Rh 0.876 0.632 0.755
Rh6 Rh 0.879 0.124 0.755
```


Ordering by calculated energy gives the sequence (A), (B), (C), with the first entry being the most stable.


(A)
DFT (PBE) results for an optimized crystal structure of TiH3Rh3.

The structure in CIF format:
```
data_TiH3Rh3
_chemical_formula_sum 'Ti1 H3 Rh3'
_symmetry_space_group_name_H-M 'P 1'
_symmetry_Int_Tables_number 1
_symmetry_space_group_name_Hall 'P 1'
_cell_length_a 3.999
_cell_length_b 3.999
_cell_length_c 3.999
_cell_angle_alpha 90.00
_cell_angle_beta 90.00
_cell_angle_gamma 90.00
loop_
_atom_site_label
_atom_site_type_symbol
_atom_site_fract_x
_atom_site_fract_y
_atom_site_fract_z
Ti1 Ti 0.000 0.000 0.000
H1 H 0.000 0.000 0.500
H2 H 0.000 0.500 0.000
H3 H 0.500 0.000 0.000
Rh1 Rh 0.000 0.500 0.500
Rh2 Rh 0.500 0.000 0.500
Rh3 Rh 0.500 0.500 0.000
```


(B)
DFT (PBE) results for an optimized crystal structure of TiH3Rh3.

The structure in CIF format:
```
data_TiH3Rh3
_chemical_formula_sum 'Ti2 H6 Rh6'
_symmetry_space_group_name_H-M 'P 1'
_symmetry_Int_Tables_number 1
_symmetry_space_group_name_Hall 'P 1'
_cell_length_a 5.182
_cell_length_b 5.182
_cell_length_c 5.182
_cell_angle_alpha 90.00
_cell_angle_beta 90.00
_cell_angle_gamma 90.00
loop_
_atom_site_label
_atom_site_type_symbol
_atom_site_fract_x
_atom_site_fract_y
_atom_site_fract_z
Ti1 Ti 0.000 0.000 0.000
Ti2 Ti 0.500 0.500 0.500
H1 H 0.000 0.250 0.500
H2 H 0.000 0.750 0.500
H3 H 0.250 0.500 0.000
H4 H 0.500 0.000 0.250
H5 H 0.500 0.000 0.750
H6 H 0.750 0.500 0.000
Rh1 Rh 0.000 0.500 0.250
Rh2 Rh 0.000 0.500 0.750
Rh3 Rh 0.250 0.000 0.500
Rh4 Rh 0.500 0.250 0.000
Rh5 Rh 0.500 0.750 0.000
Rh6 Rh 0.750 0.000 0.500
```


Ordering by calculated energy gives the sequence (A), (B), with the first entry being the most stable.


(A)
DFT (PBE) results for an optimized crystal structure of TiH2Rh2.

The structure in CIF format:
```
data_TiH2Rh2
_chemical_formula_sum 'Ti1 H2 Rh2'
_symmetry_space_group_name_H-M 'P 1'
_symmetry_Int_Tables_number 1
_symmetry_space_group_name_Hall 'P 1'
_cell_length_a 2.891
_cell_length_b 2.891
_cell_length_c 6.757
_cell_angle_alpha 90.00
_cell_angle_beta 90.00
_cell_angle_gamma 120.00
loop_
_atom_site_label
_atom_site_type_symbol
_atom_site_fract_x
_atom_site_fract_y
_atom_site_fract_z
Ti1 Ti 0.000 0.000 0.000
H1 H 0.333 0.667 0.799
H2 H 0.667 0.333 0.201
Rh1 Rh 0.333 0.667 0.324
Rh2 Rh 0.667 0.333 0.676
```


(B)
DFT (PBE) results for an optimized crystal structure of TiH2Rh2.

The structure in CIF format:
```
data_TiH2Rh2
_chemical_formula_sum 'Ti1 H2 Rh2'
_symmetry_space_group_name_H-M 'P 1'
_symmetry_Int_Tables_number 1
_symmetry_space_group_name_Hall 'P 1'
_cell_length_a 5.574
_cell_length_b 5.574
_cell_length_c 5.574
_cell_angle_alpha 147.25
_cell_angle_beta 147.25
_cell_angle_gamma 46.99
loop_
_atom_site_label
_atom_site_type_symbol
_atom_site_fract_x
_atom_site_fract_y
_atom_site_fract_z
Ti1 Ti 0.000 0.000 0.000
H1 H 0.250 0.750 0.500
H2 H 0.750 0.250 0.500
Rh1 Rh 0.359 0.359 0.000
Rh2 Rh 0.641 0.641 0.000
```


Ordering by calculated energy gives the sequence (B), (A), with the first entry being the most stable.


(A)
DFT (PBE) results for an optimized crystal structure of Ti2H2Rh.

The structure in CIF format:
```
data_Ti2H2Rh
_chemical_formula_sum 'Ti4 H4 Rh2'
_symmetry_space_group_name_H-M 'P 1'
_symmetry_Int_Tables_number 1
_symmetry_space_group_name_Hall 'P 1'
_cell_length_a 4.818
_cell_length_b 5.097
_cell_length_c 5.261
_cell_angle_alpha 100.73
_cell_angle_beta 109.74
_cell_angle_gamma 114.27
loop_
_atom_site_label
_atom_site_type_symbol
_atom_site_fract_x
_atom_site_fract_y
_atom_site_fract_z
Ti1 Ti 0.107 0.444 0.278
Ti2 Ti 0.268 0.222 0.767
Ti3 Ti 0.732 0.778 0.233
Ti4 Ti 0.893 0.556 0.722
H1 H 0.106 0.782 0.524
H2 H 0.253 0.541 0.996
H3 H 0.747 0.459 0.004
H4 H 0.894 0.218 0.476
Rh1 Rh 0.364 0.093 0.241
Rh2 Rh 0.636 0.907 0.759
```


(B)
DFT (PBE) results for an optimized crystal structure of Ti2H2Rh.

The structure in CIF format:
```
data_Ti2H2Rh
_chemical_formula_sum 'Ti2 H2 Rh1'
_symmetry_space_group_name_H-M 'P 1'
_symmetry_Int_Tables_number 1
_symmetry_space_group_name_Hall 'P 1'
_cell_length_a 6.238
_cell_length_b 6.238
_cell_length_c 6.238
_cell_angle_alpha 152.63
_cell_angle_beta 152.63
_cell_angle_gamma 39.10
loop_
_atom_site_label
_atom_site_type_symbol
_atom_site_fract_x
_atom_site_fract_y
_atom_site_fract_z
Ti1 Ti 0.145 0.145 0.000
Ti2 Ti 0.855 0.855 0.000
H1 H 0.250 0.750 0.500
H2 H 0.750 0.250 0.500
Rh1 Rh 0.500 0.500 0.000
```


(C)
DFT (PBE) results for an optimized crystal structure of Ti2H2Rh.

The structure in CIF format:
```
data_Ti2H2Rh
_chemical_formula_sum 'Ti4 H4 Rh2'
_symmetry_space_group_name_H-M 'P 1'
_symmetry_Int_Tables_number 1
_symmetry_space_group_name_Hall 'P 1'
_cell_length_a 6.053
_cell_length_b 6.053
_cell_length_c 2.813
_cell_angle_alpha 90.00
_cell_angle_beta 90.00
_cell_angle_gamma 90.00
loop_
_atom_site_label
_atom_site_type_symbol
_atom_site_fract_x
_atom_site_fract_y
_atom_site_fract_z
Ti1 Ti 0.157 0.343 0.000
Ti2 Ti 0.343 0.843 0.000
Ti3 Ti 0.657 0.157 0.000
Ti4 Ti 0.843 0.657 0.000
H1 H 0.116 0.616 0.500
H2 H 0.384 0.116 0.500
H3 H 0.616 0.884 0.500
H4 H 0.884 0.384 0.500
Rh1 Rh 0.000 0.000 0.500
Rh2 Rh 0.500 0.500 0.500
```


(D)
DFT (PBE) results for an optimized crystal structure of Ti2H2Rh.

The structure in CIF format:
```
data_Ti2H2Rh
_chemical_formula_sum 'Ti2 H2 Rh1'
_symmetry_space_group_name_H-M 'P 1'
_symmetry_Int_Tables_number 1
_symmetry_space_group_name_Hall 'P 1'
_cell_length_a 2.926
_cell_length_b 2.926
_cell_length_c 6.185
_cell_angle_alpha 90.00
_cell_angle_beta 90.00
_cell_angle_gamma 90.00
loop_
_atom_site_label
_atom_site_type_symbol
_atom_site_fract_x
_atom_site_fract_y
_atom_site_fract_z
Ti1 Ti 0.000 0.000 0.224
Ti2 Ti 0.000 0.000 0.776
H1 H 0.000 0.500 0.000
H2 H 0.500 0.000 0.000
Rh1 Rh 0.500 0.500 0.500
```


Ordering by calculated energy gives the sequence (B), (A), (D), (C), with the first entry being the most stable.